[1]
Entry from the Alexandria database: a geometry-optimized KCrTc structure (PBE).

Cell and atoms, written as POSCAR:
```
KCrTc
1.0
3.121 0.000 0.000
0.000 4.881 0.000
0.000 0.000 15.558
K Cr Tc
4 4 4
direct
0.000 0.000 0.000 K
0.000 0.500 0.500 K
0.500 0.000 0.500 K
0.500 0.500 0.000 K
0.000 0.000 0.697 Cr
0.000 0.500 0.197 Cr
0.500 0.000 0.197 Cr
0.500 0.500 0.697 Cr
0.000 0.000 0.304 Tc
0.000 0.500 0.804 Tc
0.500 0.000 0.804 Tc
0.500 0.500 0.304 Tc
```

Calculated values
E above lowest polymorph ... 162.6 meV per atom
Energy of formation from the pure elements ... 98.9 kJ per mole of atoms
Mass density ... 5.3 Mg/m³



[2]
Entry from the Alexandria database: a geometry-optimized NaSc2CuTe4 structure (PBE).

Cell and atoms, written as POSCAR:
```
NaSc2CuTe4
1.0
2.078 -7.033 0.000
2.078 7.033 0.000
0.000 0.000 14.925
Na Sc Cu Te
2 4 2 8
direct
0.131 0.869 0.750 Na
0.869 0.131 0.250 Na
0.368 0.632 0.572 Sc
0.368 0.632 0.928 Sc
0.632 0.368 0.072 Sc
0.632 0.368 0.428 Sc
0.156 0.844 0.250 Cu
0.844 0.156 0.750 Cu
0.000 0.000 0.000 Te
0.000 0.000 0.500 Te
0.271 0.729 0.111 Te
0.271 0.729 0.389 Te
0.455 0.545 0.750 Te
0.545 0.455 0.250 Te
0.729 0.271 0.611 Te
0.729 0.271 0.889 Te
```

Calculated values
Formation energy without anion corrections ... -0.957 eV/atom
Mass density ... 5.2 Mg/m³



Q: What is the formula in the first record?
A: KCrTc



Q: What is the mass density in the second record?
A: 5.2 Mg/m³